## PmPr2Nd9 (GGA-PBE)

Data for PmPr2Nd9 after structural relaxation.

The space group is P4/mmm (No. 123) and the conventional cell measures 5.206, 5.206 and 15.631 Å, with angles of 90.00, 90.00 and 90.00 degrees. The asymmetric unit holds Pm at (0.000, 0.000, 0.000), Pr at (0.000, 0.000, 0.333), Nd at (0.000, 0.500, 0.166), Nd at (0.000, 0.500, 0.500), Nd at (0.500, 0.500, 0.000) and Nd at (0.500, 0.500, 0.333).

The formation energy is 0.01 eV/atom. The density of states at the Fermi level comes out at 20.30 states/eV/f.u. The uncorrected energy comes out at -4.756 eV/atom.

## SiPd4Au (GGA-PBE)

Data for SiPd4Au after structural relaxation.

The space group is C2/c (No. 15) and the conventional cell measures 13.718, 4.808 and 6.241 Å, with angles of 90.00, 105.44 and 90.00 degrees. The asymmetric unit holds Si at (0.250, 0.250, 0.000), Pd at (0.083, 0.123, 0.940), Pd at (0.183, 0.350, 0.623) and Au at (0.000, 0.382, 0.250).

The density of states at the Fermi level comes out at 2.22 states/eV/f.u. The value obtained for the raw formation energy is -274 meV/atom. The uncorrected energy comes out at -5.186 eV/atom.

## Ce3CdAu (GGA-PBE)

Data for Ce3CdAu after structural relaxation.

The space group is Cmcm (No. 63) and the conventional cell measures 15.874, 10.343 and 6.564 Å, with angles of 90.00, 90.00 and 90.00 degrees. The asymmetric unit holds Ce at (0.087, 0.242, 0.038), Ce at (0.212, 0.500, 0.000), Cd at (0.000, 0.016, 0.750), Cd at (0.000, 0.487, 0.750) and Au at (0.237, 0.245, 0.750).

The formation energy is -0.22 eV/atom. The density of states at the Fermi level comes out at 13.39 states/eV/f.u. The uncorrected energy comes out at -4.623 eV/atom.

## MnAgSeBr2 (GGA-PBE)

Data for MnAgSeBr2 after structural relaxation.

The space group is P4/mmm (No. 123) and the conventional cell measures 5.140, 5.140 and 5.344 Å, with angles of 90.00, 90.00 and 90.00 degrees. The asymmetric unit holds Mn at (0.000, 0.000, 0.000), Ag at (0.500, 0.500, 0.500), Se at (0.500, 0.500, 0.000) and Br at (0.000, 0.500, 0.500).

The density of states at the Fermi level comes out at 1.70 states/eV/f.u. The value obtained for the raw formation energy is 374 meV/atom. The uncorrected energy comes out at -3.396 eV/atom.